1.
TbUPa2N4 | Alexandria via LeMat-Bulk | GGA-PBE | relaxed; Fermi-level density of states = 7.8 states/eV per cell; magnetization = 1.06 μB/cell; uncorrected formation energy = -1.5495 eV per atom; uncorrected energy = -80.608 eV for the cell shown
1.0
-2.137 -1.315 -2.411
4.652 -0.676 -3.756
-0.648 -5.003 3.304
N Pa U Tb
4 2 1 1
Cartesian
1.953 -4.943 -1.547 N
0.642 -3.911 1.564 N
3.362 -1.768 -2.016 N
-0.087 -2.051 -1.316 N
2.002 -2.839 -0.226 Pa
-1.393 -3.159 0.447 Pa
0.000 0.000 0.000 U
1.258 -0.996 -3.083 Tb

---

2.
TbPaW2N6 | Alexandria via LeMat-Bulk | GGA-PBE | relaxed; Fermi-level density of states = 8.7 states/eV per cell; magnetization = 0.00 μB/cell; uncorrected formation energy = -0.9500 eV per atom; uncorrected energy = -198.969 eV for the cell shown
1.0
-0.345 1.906 5.758
2.331 -5.661 3.654
6.593 2.417 1.235
Pa Tb N W
2 2 12 4
Cartesian
5.165 0.350 3.436 Pa
3.414 -1.688 7.211 Pa
5.960 3.139 5.766 Tb
2.619 -4.476 4.881 Tb
2.251 -3.090 3.098 N
3.557 -3.461 8.812 N
5.022 2.124 1.835 N
4.261 2.001 4.738 N
3.390 -0.886 1.756 N
2.927 -0.483 4.800 N
6.328 1.753 7.549 N
6.987 1.760 4.084 N
5.652 -0.854 5.847 N
5.189 -0.451 8.891 N
1.592 -3.098 6.563 N
4.318 -3.338 5.909 N
6.429 -0.096 7.457 W
5.782 -2.603 5.043 W
2.797 1.265 5.604 W
2.150 -1.242 3.190 W

---

3.
TbY3Pa2N6 | Alexandria via LeMat-Bulk | GGA-PBE | relaxed; Fermi-level density of states = 5.5 states/eV per cell; magnetization = 0.00 μB/cell; uncorrected formation energy = -1.6896 eV per atom; uncorrected energy = -113.242 eV for the cell shown
1.0
6.049 -0.001 0.002
-3.024 5.239 0.002
-1.008 -1.745 5.693
Pa N Y Tb
2 6 3 1
Cartesian
3.025 1.745 0.002 Pa
0.000 3.493 0.002 Pa
0.034 0.060 4.326 N
1.983 3.433 1.370 N
-1.044 1.812 1.352 N
-0.075 3.491 4.344 N
2.092 0.001 1.352 N
3.061 1.680 4.344 N
1.008 1.746 2.848 Y
-2.027 3.499 2.848 Y
4.044 -0.007 2.848 Y
0.000 0.000 0.000 Tb

---

4.
TbY2PaN4 | Alexandria via LeMat-Bulk | GGA-PBE | relaxed; Fermi-level density of states = 3.7 states/eV per cell; magnetization = 0.00 μB/cell; uncorrected formation energy = -1.6922 eV per atom; uncorrected energy = -73.894 eV for the cell shown
1.0
3.503 0.000 0.000
0.000 6.025 0.119
0.000 -2.094 5.645
N Y Tb Pa
4 2 1 1
Cartesian
1.752 2.862 4.375 N
0.000 3.953 1.447 N
1.752 1.069 1.388 N
0.000 -0.022 4.317 N
1.752 -1.047 2.822 Y
0.000 1.966 2.882 Y
0.000 0.000 0.000 Tb
1.752 3.013 0.059 Pa

---

5.
TbYPa2N4 | Alexandria via LeMat-Bulk | GGA-PBE | relaxed; Fermi-level density of states = 4.2 states/eV per cell; magnetization = 0.00 μB/cell; uncorrected formation energy = -1.6542 eV per atom; uncorrected energy = -76.621 eV for the cell shown
1.0
-0.437 -2.934 -1.844
5.436 -1.953 1.820
-4.233 -1.839 3.929
N Pa Y Tb
4 2 1 1
Cartesian
0.718 -4.281 3.334 N
2.994 -1.959 2.409 N
-1.791 -1.833 3.340 N
0.049 -2.445 0.571 N
0.601 -1.896 2.875 Pa
-2.335 -2.387 1.043 Pa
0.000 0.000 0.000 Y
2.500 -2.443 -0.012 Tb

---

6.
Tb3ZrPa2N6 | Alexandria via LeMat-Bulk | GGA-PBE | relaxed; Fermi-level density of states = 5.0 states/eV per cell; magnetization = 0.00 μB/cell; uncorrected formation energy = -1.6812 eV per atom; uncorrected energy = -111.557 eV for the cell shown
1.0
-0.389 -3.740 4.664
-0.845 -2.048 -5.567
5.935 0.800 -0.132
Zr N Pa Tb
1 6 2 3
Cartesian
0.000 0.000 0.000 Zr
1.144 -1.514 1.463 N
3.557 -3.474 -2.498 N
3.710 -4.042 0.931 N
0.991 -0.946 -1.965 N
0.480 -4.122 -0.703 N
4.221 -0.866 -0.331 N
-0.693 -2.612 -2.156 Pa
-0.541 -3.176 1.253 Pa
2.198 -1.925 -3.954 Tb
2.351 -2.494 -0.517 Tb
2.504 -3.063 2.920 Tb

---

7.
TbZr4Pa3N8 | Alexandria via LeMat-Bulk | GGA-PBE | relaxed; Fermi-level density of states = 7.1 states/eV per cell; magnetization = 0.00 μB/cell; uncorrected formation energy = -1.6772 eV per atom; uncorrected energy = -160.749 eV for the cell shown
1.0
-1.385 -2.700 -6.033
6.149 -2.820 -0.150
-4.107 -1.148 5.236
N Pa Zr Tb
8 3 4 1
Cartesian
-0.909 -1.884 1.052 N
-2.960 -2.487 3.665 N
-3.646 -3.824 0.676 N
3.617 -4.181 -4.611 N
4.303 -2.844 -1.623 N
1.565 -4.784 -1.998 N
2.231 -3.423 1.020 N
-1.574 -3.245 -1.966 N
2.382 -2.760 -3.091 Pa
0.328 -3.334 -0.473 Pa
1.021 -1.984 2.543 Pa
0.000 0.000 0.000 Zr
-2.746 -1.924 -0.398 Zr
-2.053 -0.574 2.618 Zr
-0.693 -1.350 -3.016 Zr
3.074 -1.410 -0.075 Tb

---

8.
Tb2ZrPaN4 | Alexandria via LeMat-Bulk | GGA-PBE | relaxed; Fermi-level density of states = 3.7 states/eV per cell; magnetization = 0.00 μB/cell; uncorrected formation energy = -1.6809 eV per atom; uncorrected energy = -74.053 eV for the cell shown
1.0
-0.314 2.871 -1.867
-2.219 -3.167 -4.498
-4.464 1.793 3.508
Pa N Zr Tb
1 4 1 2
Cartesian
-1.267 -0.148 -3.182 Pa
-1.718 1.074 -1.227 N
-2.707 -1.953 -2.549 N
-5.279 0.423 -1.629 N
-3.977 0.579 1.560 N
0.000 0.000 0.000 Zr
-3.342 -0.687 -0.495 Tb
-2.389 2.332 0.821 Tb

---

uncorrected formation energy of number 4 (TbY2PaN4)?
-1.6922 eV per atom

---

What is the formula in the fourth record?
TbY2PaN4

---

Which value of uncorrected formation energy does entry 2 give?
-0.9500 eV per atom